Entry 1:
This record from Alexandria describes Cr2NiAg after structural relaxation. The functional is PBEsol.

abc: 2.947 2.947 5.858
angles: 90.00 90.00 90.00
Space group P4mm (No. 99)
Inequivalent atoms, fractional coordinates:
Cr 0.000 0.000 0.000 [1 per cell]
Cr 0.500 0.500 0.208 [1 per cell]
Ni 0.000 0.000 0.428 [1 per cell]
Ag 0.500 0.500 0.699 [1 per cell]

Crystal system: tetragonal
Total DFT energy (no corrections) (eV/atom): -7.174
Energy of formation (eV/atom): 0.314



Entry 2:
This record from Alexandria describes Zr6Nb2O17 after structural relaxation. The functional is PBEsol.

abc: 41.301 5.228 4.981
angles: 90.00 96.17 90.00
Space group C2 (No. 5)
Inequivalent atoms, fractional coordinates:
Zr 0.000 0.000 0.000 [2 per cell]
Zr 0.000 0.496 0.500 [2 per cell]
Zr 0.065 0.116 0.540 [4 per cell]
Zr 0.127 0.186 0.131 [4 per cell]
Zr 0.128 0.682 0.607 [4 per cell]
Zr 0.190 0.608 0.195 [4 per cell]
Zr 0.249 0.688 0.738 [4 per cell]
Nb 0.065 0.619 0.083 [4 per cell]
Nb 0.188 0.111 0.657 [4 per cell]
O 0.024 0.172 0.714 [4 per cell]
O 0.026 0.668 0.834 [4 per cell]
O 0.035 0.337 0.250 [4 per cell]
O 0.035 0.827 0.310 [4 per cell]
O 0.083 0.306 0.900 [4 per cell]
O 0.085 0.795 0.780 [4 per cell]
O 0.095 0.903 0.288 [4 per cell]
O 0.096 0.416 0.388 [4 per cell]
O 0.142 0.037 0.785 [4 per cell]
O 0.143 0.531 0.972 [4 per cell]
O 0.158 0.381 0.446 [4 per cell]
O 0.158 0.888 0.350 [4 per cell]
O 0.197 0.245 0.015 [4 per cell]
O 0.197 0.770 0.829 [4 per cell]
O 0.218 0.390 0.522 [4 per cell]
O 0.219 0.911 0.417 [4 per cell]
O 0.245 0.553 0.112 [4 per cell]

Crystal system: monoclinic
Total DFT energy (no corrections) (eV/atom): -9.825
Energy relative to the elements, uncorrected (eV/f.u.): -80.21



Entry 3:
This record from Alexandria describes TiPd2 after structural relaxation. The functional is PBEsol.

abc: 3.012 3.454 8.529
angles: 90.00 90.00 90.00
Space group Immm (No. 71)
Inequivalent atoms, fractional coordinates:
Ti 0.000 0.000 0.000 [2 per cell]
Pd 0.000 0.000 0.341 [4 per cell]

Crystal system: orthorhombic
Total DFT energy (no corrections) (eV/atom): -7.389
Energy of formation (eV/atom): -0.642



Entry 4:
This record from Alexandria describes BMo3Cl after structural relaxation. The functional is PBEsol.

abc: 4.206 4.206 4.206
angles: 90.00 90.00 90.00
Space group Pm-3m (No. 221)
Inequivalent atoms, fractional coordinates:
B 0.000 0.000 0.000 [1 per cell]
Mo 0.000 0.000 0.500 [3 per cell]
Cl 0.500 0.500 0.500 [1 per cell]

Crystal system: cubic
Total DFT energy (no corrections) (eV/atom): -7.929
Energy relative to the elements, uncorrected (eV/f.u.): 4.68



Which formula does entry 1 have? Cr2NiAg